No. 1
## Hf3Ge2Pd8 (GGA-PBE)

Data for a relaxed structure of Hf3Ge2Pd8.

POSCAR file:
```
Hf3Ge2Pd8
1.0
-1.9208 3.4294 -3.5761
-5.0596 1.5963 0.3002
0.2643 8.8545 4.4012
Hf Pd Ge
3 8 2
Direct
0.8100 0.8100 0.5700
0.0000 0.0000 0.0000
0.1900 0.1900 0.4300
0.7756 0.2699 0.6847
0.7301 0.7301 0.3153
0.2699 0.7756 0.6847
0.2244 0.7301 0.3153
0.2699 0.2699 0.6847
0.7301 0.2244 0.3153
0.7170 0.7170 0.8489
0.2830 0.2830 0.1511
0.6319 0.6319 0.1042
0.3681 0.3681 0.8958
```

The value obtained for the raw total energy is -6.63 eV/atom. The symmetry is R-3m (166). For the density of states at the Fermi level, the calculation gives 0.60 states/eV per atom.

***

No. 2
## Zn2CrRh (GGA-PBE)

Data for a relaxed structure of Zn2CrRh.

POSCAR file:
```
Zn2CrRh
1.0
-4.4342 3.3872 -3.9890
2.1849 -3.5525 -5.4454
-2.8568 -1.8279 -4.2736
Rh Zn Cr
2 4 2
Direct
0.7500 0.2500 0.5000
0.0000 0.0000 0.0000
0.1266 0.6250 0.2500
0.8750 0.8734 0.7500
0.3750 0.3766 0.7500
0.6234 0.1250 0.2500
0.5000 0.5000 0.0000
0.2500 0.7500 0.5000
```

The symmetry is I-42d (122). For the energy above the most stable polymorph in this dataset, the calculation gives 0.600 eV/atom. For the density of states at the Fermi level, the calculation gives 1.08 states/eV per atom.

***

No. 3
## CeThTl2 (GGA-PBE)

Data for a relaxed structure of CeThTl2.

POSCAR file:
```
CeThTl2
1.0
4.6350 0.0000 0.0000
0.0000 4.9810 0.0000
0.0000 0.0000 4.9810
Tl Ce Th
2 1 1
Direct
0.0000 0.0000 0.5000
0.0000 0.5000 0.0000
0.5000 0.5000 0.5000
0.5000 0.0000 0.0000
```

The value obtained for the raw total energy is -4.71 eV/atom. The symmetry is P4/mmm (123). For the density of states at the Fermi level, the calculation gives 2.08 states/eV per atom.

***

No. 4
## Ac2CdBr (GGA-PBE)

Data for a relaxed structure of Ac2CdBr.

POSCAR file:
```
Ac2CdBr
1.0
-3.4432 -1.2151 -1.6627
-2.9490 -1.4319 2.3130
-5.9127 8.4921 1.1981
Ac Br Cd
2 1 1
Direct
0.0832 0.0832 0.7502
0.2499 0.2499 0.2504
0.5003 0.5003 0.4991
0.6666 0.6666 0.0002
```

The symmetry is R3m (160). The calculation puts the formation energy from raw total energies at -695 meV per atom. For the energy above the most stable polymorph in this dataset, the calculation gives 0.000 eV/atom. For the density of states at the Fermi level, the calculation gives 0.64 states/eV per atom.

***

No. 5
## KEuBi2 (GGA-PBE)

Data for a relaxed structure of KEuBi2.

POSCAR file:
```
KEuBi2
1.0
-1.4225 -3.8372 1.6160
0.1146 -1.7431 -4.0383
7.3440 -2.2296 1.1707
K Bi Eu
1 2 1
Direct
0.5000 0.5000 0.5000
0.0000 0.0000 0.1961
0.0000 0.0000 0.8039
0.5000 0.5000 0.0000
```

The symmetry is P4/mmm (123). For the energy above the most stable polymorph in this dataset, the calculation gives 0.000 eV/atom. For the density of states at the Fermi level, the calculation gives 2.16 states/eV per atom.

***

No. 6
## MnPbAu2 (GGA-PBE)

Data for a relaxed structure of MnPbAu2.

POSCAR file:
```
MnPbAu2
1.0
-0.8254 -1.2816 -4.0019
3.2655 -0.0069 -0.6713
1.9388 -5.8314 1.4675
Au Pb Mn
2 1 1
Direct
0.0000 0.1821 0.0090
0.5000 0.0327 0.3131
0.5000 0.7893 0.7884
0.0000 0.4959 0.3895
```

The value obtained for the raw total energy is -4.76 eV/atom. The symmetry is Pm (6). For the density of states at the Fermi level, the calculation gives 0.46 states/eV per atom.

***

No. 7
## LaY4Tl (GGA-PBE)

Data for a relaxed structure of LaY4Tl.

POSCAR file:
```
LaY4Tl
1.0
0.0000 4.6351 4.6351
4.6351 0.0000 4.6351
4.6351 4.6351 0.0000
Y La Tl
4 1 1
Direct
0.3751 0.3751 0.3751
0.3751 0.8746 0.3751
0.8746 0.3751 0.3751
0.3751 0.3751 0.8746
0.7500 0.7500 0.7500
0.0000 0.0000 0.0000
```

The symmetry is F-43m (216). For the energy above the most stable polymorph in this dataset, the calculation gives 0.197 eV/atom. For the density of states at the Fermi level, the calculation gives 1.46 states/eV per atom.

***

No. 8
## SrGa2Ru (GGA-PBE)

Data for a relaxed structure of SrGa2Ru.

POSCAR file:
```
SrGa2Ru
1.0
-0.9705 0.7325 3.0162
-2.1915 -2.3996 -0.1224
5.0042 -4.7108 2.7542
Ga Ru Sr
2 1 1
Direct
0.0000 0.0000 0.1821
0.0000 0.0000 0.8179
0.5000 0.5000 0.0000
0.5000 0.5000 0.5000
```

The value obtained for the raw total energy is -4.52 eV/atom. The symmetry is P4/mmm (123). For the density of states at the Fermi level, the calculation gives 0.33 states/eV per atom.

***

No. 9
## Pm2Zn16Os (GGA-PBE)

Data for a relaxed structure of Pm2Zn16Os.

POSCAR file:
```
Pm2Zn16Os
1.0
6.7749 0.0381 0.8062
0.7204 6.7366 0.8062
0.0421 0.0381 6.8226
Zn Os Pm
16 1 2
Direct
0.7132 0.9976 0.2829
0.3557 0.3557 0.8392
0.2829 0.7132 0.9976
0.5076 0.9945 0.9945
0.9945 0.5076 0.9945
0.6492 0.6492 0.1503
0.7132 0.2829 0.9976
0.2829 0.9976 0.7132
0.3557 0.8392 0.3557
0.8392 0.3557 0.3557
0.9945 0.9945 0.5076
0.1503 0.6492 0.6492
0.6492 0.1503 0.6492
0.9976 0.7132 0.2829
0.9976 0.2829 0.7132
0.1012 0.1012 0.1012
0.9023 0.9023 0.9023
0.3399 0.3399 0.3399
0.6733 0.6733 0.6733
```

The value obtained for the raw total energy is -2.36 eV/atom. The symmetry is R3m (160). For the density of states at the Fermi level, the calculation gives 0.40 states/eV per atom.

***

No. 10
## Li2GaBiO4 (GGA-PBE)

Data for a relaxed structure of Li2GaBiO4.

POSCAR file:
```
Li2GaBiO4
1.0
5.1824 0.0000 0.0000
0.0000 5.5525 0.0000
0.0000 0.0000 7.2441
Bi O Ga Li
2 8 2 4
Direct
0.9867 0.2007 0.5000
0.4867 0.7993 0.0000
0.8721 0.3388 0.7887
0.9175 0.8577 0.0000
0.8721 0.3388 0.2113
0.4175 0.1423 0.5000
0.3721 0.6612 0.2887
0.3659 0.1833 0.0000
0.8659 0.8167 0.5000
0.3721 0.6612 0.7113
0.4973 0.8076 0.5000
0.9973 0.1924 0.0000
0.9942 0.6738 0.7477
0.4942 0.3262 0.7523
0.9942 0.6738 0.2523
0.4942 0.3262 0.2477
```

The symmetry is Pmn2_1 (31). The calculation puts the formation energy from raw total energies at -1715 meV per atom. For the density of states at the Fermi level, the calculation gives 0.00 states/eV per atom.

***

No. 11
## Np2Ga6Cu (GGA-PBE)

Data for a relaxed structure of Np2Ga6Cu.

POSCAR file:
```
Np2Ga6Cu
1.0
-4.4030 -0.5583 0.8872
1.0270 -1.5306 4.1337
-0.3927 7.9016 3.0232
Np Ga Cu
2 6 1
Direct
0.5000 0.5000 0.7495
0.5000 0.5000 0.2505
0.5000 0.0000 0.0000
0.0000 0.0000 0.2941
0.5000 0.0000 0.5000
0.0000 0.5000 0.5000
0.0000 0.5000 0.0000
0.0000 0.0000 0.7059
0.0000 0.0000 0.0000
```

The value obtained for the raw total energy is -5.38 eV/atom. The symmetry is P4/mmm (123). For the density of states at the Fermi level, the calculation gives 1.92 states/eV per atom.

***

No. 12
## MgSc2 (GGA-PBE)

Data for a relaxed structure of MgSc2.

POSCAR file:
```
MgSc2
1.0
6.2284 0.0039 -0.0005
5.3902 3.1207 -0.0005
1.9795 0.5324 7.4206
Sc Mg
4 2
Direct
0.9416 0.9416 0.6095
0.2743 0.2743 0.9397
0.6182 0.6182 0.2824
0.6622 0.6622 0.6710
0.3361 0.3361 0.3299
0.0010 0.0010 0.0008
```

The value obtained for the raw total energy is -4.71 eV/atom. The symmetry is Cm (8). For the density of states at the Fermi level, the calculation gives 1.55 states/eV per atom.